# 1
Density functional theory data (GGA-PBE) for a relaxed SiNiAs2 crystal.

Calculated values
Magnetic moment (μB/cell): 0.0
SG: Cmm2 (35)
Crystal system: orthorhombic
Formation energy without anion corrections (kJ per mole of atoms): 13.4
DFT total energy (eV/atom): -4.9868

Structure (POSCAR):
```
SiNiAs2
1.0
1.895 -1.994 0.000
1.895 1.994 0.000
0.000 0.000 8.636
Si Ni As
1 1 2
direct
0.000 0.000 0.000
0.500 0.500 0.825
0.000 0.000 0.626
0.500 0.500 0.265
```

=====

# 2
Density functional theory data (GGA-PBE) for a relaxed Si2NiAs crystal.

Calculated values
Magnetic moment (μB/cell): 0.0
SG: Fmmm (69)
Crystal system: orthorhombic
Formation energy without anion corrections (kJ per mole of atoms): 12.5
DFT total energy (eV/atom): -5.1893

Structure (POSCAR):
```
Si2NiAs
1.0
0.000 2.633 4.527
2.467 0.000 4.527
2.467 2.633 0.000
Si Ni As
2 1 1
direct
0.000 0.500 0.500
0.500 0.000 0.000
0.000 0.000 0.000
0.500 0.500 0.500
```

=====

# 3
Density functional theory data (GGA-PBE) for a relaxed SiNiAs2 crystal.

Calculated values
Magnetic moment (μB/cell): 0.0
SG: P4mm (99)
Crystal system: tetragonal
Formation energy without anion corrections (kJ per mole of atoms): 7.4
DFT total energy (eV/atom): -5.0491

Structure (POSCAR):
```
SiNiAs2
1.0
3.199 0.000 0.000
0.000 3.199 0.000
0.000 0.000 6.966
Si Ni As
1 1 2
direct
0.000 0.000 0.000
0.500 0.500 0.823
0.000 0.000 0.643
0.500 0.500 0.178
```

=====

# 4
Density functional theory data (GGA-PBE) for a relaxed SiNiAs4 crystal.

Calculated values
Magnetic moment (μB/cell): 0.4
SG: F-43m (216)
Crystal system: cubic
Formation energy without anion corrections (kJ per mole of atoms): 74.4
DFT total energy (eV/atom): -4.1965

Structure (POSCAR):
```
SiNiAs4
1.0
0.000 3.847 3.847
3.847 0.000 3.847
3.847 3.847 0.000
Si Ni As
1 1 4
direct
0.000 0.000 0.000
0.750 0.750 0.750
0.375 0.375 0.375
0.375 0.375 0.875
0.375 0.875 0.375
0.875 0.375 0.375
```

=====

# 5
Density functional theory data (GGA-PBE) for a relaxed Si2NiAs crystal.

Calculated values
Magnetic moment (μB/cell): 0.0
SG: Imm2 (44)
Crystal system: orthorhombic
Formation energy without anion corrections (kJ per mole of atoms): 21.5
DFT total energy (eV/atom): -5.0959

Structure (POSCAR):
```
Si2NiAs
1.0
-1.319 2.322 4.927
1.319 -2.322 4.927
1.319 2.322 -4.927
Si Ni As
2 1 1
direct
0.000 0.000 0.000
0.754 0.254 0.500
0.556 0.556 0.000
0.336 0.836 0.500
```

=====

# 6
Density functional theory data (GGA-PBE) for a relaxed SiNiAs3 crystal.

Calculated values
E above lowest polymorph (eV per formula unit): 0.00
Magnetic moment (μB/cell): 0.0
SG: Pm-3m (221)
Crystal system: cubic
Formation energy without anion corrections (kJ per mole of atoms): 62.4
DFT total energy (eV/atom): -4.3834

Structure (POSCAR):
```
SiNiAs3
1.0
4.617 0.000 0.000
0.000 4.617 0.000
0.000 0.000 4.617
Si Ni As
1 1 3
direct
0.000 0.000 0.000
0.500 0.500 0.500
0.000 0.500 0.500
0.500 0.000 0.500
0.500 0.500 0.000
```

=====

# 7
Density functional theory data (GGA-PBE) for a relaxed SiNiAs2 crystal.

Calculated values
Magnetic moment (μB/cell): 0.0
SG: Cmmm (65)
Crystal system: orthorhombic
Formation energy without anion corrections (kJ per mole of atoms): 31.4
DFT total energy (eV/atom): -4.8001

Structure (POSCAR):
```
SiNiAs2
1.0
2.774 -3.464 0.000
2.774 3.464 0.000
0.000 0.000 3.254
Si Ni As
1 1 2
direct
0.000 0.000 0.000
0.500 0.500 0.000
0.000 0.500 0.500
0.500 0.000 0.500
```

=====

# 8
Density functional theory data (GGA-PBE) for a relaxed SiNiAs2 crystal.

Calculated values
Magnetic moment (μB/cell): 0.0
SG: Pm (6)
Crystal system: monoclinic
Formation energy without anion corrections (kJ per mole of atoms): -7.0
DFT total energy (eV/atom): -5.1985

Structure (POSCAR):
```
SiNiAs2
1.0
3.489 0.000 0.000
0.000 3.490 0.000
-0.008 0.000 6.340
Si Ni As
1 1 2
direct
0.000 0.000 0.000
0.500 0.500 0.000
0.501 0.000 0.274
0.999 0.500 0.726
```

=====

# 9
Density functional theory data (GGA-PBE) for a relaxed SiNiAs2 crystal.

Calculated values
Magnetic moment (μB/cell): 0.0
SG: Imm2 (44)
Crystal system: orthorhombic
Formation energy without anion corrections (kJ per mole of atoms): 17.5
DFT total energy (eV/atom): -4.9443

Structure (POSCAR):
```
SiNiAs2
1.0
-1.418 2.117 5.424
1.418 -2.117 5.424
1.418 2.117 -5.424
Si Ni As
1 1 2
direct
0.000 0.000 0.000
0.819 0.319 0.500
0.326 0.826 0.500
0.625 0.625 0.000
```

=====

# 10
Density functional theory data (GGA-PBE) for a relaxed SiNi8As2 crystal.

Calculated values
E above lowest polymorph (eV per formula unit): 0.00
Magnetic moment (μB/cell): 0.0
SG: C2/m (12)
Crystal system: monoclinic
Formation energy without anion corrections (kJ per mole of atoms): -28.1
DFT total energy (eV/atom): -5.8343

Structure (POSCAR):
```
SiNi8As2
1.0
6.438 -1.899 0.000
6.438 1.899 0.000
-2.386 0.000 5.301
Si Ni As
1 8 2
direct
0.000 0.000 0.000
0.089 0.089 0.443
0.169 0.169 0.935
0.318 0.318 0.733
0.472 0.472 0.199
0.528 0.528 0.801
0.682 0.682 0.267
0.831 0.831 0.065
0.911 0.911 0.557
0.321 0.321 0.328
0.679 0.679 0.672
```

=====

# 11
Density functional theory data (GGA-PBE) for a relaxed SiNiAs2 crystal.

Calculated values
Magnetic moment (μB/cell): 0.0
SG: P2/m (10)
Crystal system: monoclinic
Formation energy without anion corrections (kJ per mole of atoms): 14.2
DFT total energy (eV/atom): -4.9790

Structure (POSCAR):
```
SiNiAs2
1.0
2.642 0.000 0.000
0.000 3.542 0.000
-0.358 0.000 7.100
Si Ni As
1 1 2
direct
0.000 0.000 0.000
0.000 0.000 0.500
0.035 0.500 0.270
0.965 0.500 0.730
```

=====

# 12
Density functional theory data (GGA-PBE) for a relaxed Si2NiAs crystal.

Calculated values
Magnetic moment (μB/cell): 0.0
SG: P4/mmm (123)
Crystal system: tetragonal
Formation energy without anion corrections (kJ per mole of atoms): 32.8
DFT total energy (eV/atom): -4.9794

Structure (POSCAR):
```
Si2NiAs
1.0
3.549 0.000 0.000
0.000 3.549 0.000
0.000 0.000 4.685
Si Ni As
2 1 1
direct
0.000 0.500 0.000
0.500 0.000 0.000
0.000 0.000 0.500
0.500 0.500 0.500
```

=====

# 13
Density functional theory data (GGA-PBE) for a relaxed Si2NiAs crystal.

Calculated values
Magnetic moment (μB/cell): 0.0
SG: I-4m2 (119)
Crystal system: tetragonal
Formation energy without anion corrections (kJ per mole of atoms): 32.0
DFT total energy (eV/atom): -4.9879

Structure (POSCAR):
```
Si2NiAs
1.0
-2.030 2.030 3.517
2.030 -2.030 3.517
2.030 2.030 -3.517
Si Ni As
2 1 1
direct
0.000 0.000 0.000
0.750 0.250 0.500
0.500 0.500 0.000
0.250 0.750 0.500
```

=====

# 14
Density functional theory data (GGA-PBE) for a relaxed Si2NiAs crystal.

Calculated values
Magnetic moment (μB/cell): 0.0
SG: Pmm2 (25)
Crystal system: orthorhombic
Formation energy without anion corrections (kJ per mole of atoms): 14.1
DFT total energy (eV/atom): -5.1730

Structure (POSCAR):
```
Si2NiAs
1.0
2.728 0.000 0.000
0.000 3.390 0.000
0.000 0.000 6.681
Si Ni As
2 1 1
direct
0.000 0.000 0.000
0.500 0.500 0.208
0.500 0.500 0.827
0.000 0.000 0.604
```

=====

# 15
Density functional theory data (GGA-PBE) for a relaxed Si2NiAs crystal.

Calculated values
Magnetic moment (μB/cell): 0.0
SG: Cm (8)
Crystal system: monoclinic
Formation energy without anion corrections (kJ per mole of atoms): 3.0
DFT total energy (eV/atom): -5.2877

Structure (POSCAR):
```
Si2NiAs
1.0
3.628 -1.678 0.000
3.628 1.678 0.000
-2.267 0.000 5.123
Si Ni As
2 1 1
direct
0.000 0.000 0.000
0.216 0.216 0.780
0.758 0.758 0.166
0.539 0.539 0.400
```

=====

# 16
Density functional theory data (GGA-PBE) for a relaxed SiNiAs2 crystal.

Calculated values
Magnetic moment (μB/cell): 0.0
SG: P2/m (10)
Crystal system: monoclinic
Formation energy without anion corrections (kJ per mole of atoms): 6.4
DFT total energy (eV/atom): -5.0598

Structure (POSCAR):
```
SiNiAs2
1.0
3.574 0.000 0.000
0.000 3.585 0.000
-0.034 0.000 5.033
Si Ni As
1 1 2
direct
0.000 0.000 0.000
0.500 0.500 0.500
0.000 0.000 0.500
0.500 0.500 0.000
```

=====

# 17
Density functional theory data (GGA-PBE) for a relaxed Si2NiAs crystal.

Calculated values
Magnetic moment (μB/cell): 0.0
SG: Immm (71)
Crystal system: orthorhombic
Formation energy without anion corrections (kJ per mole of atoms): 18.7
DFT total energy (eV/atom): -5.1253

Structure (POSCAR):
```
Si2NiAs
1.0
-1.401 2.024 5.306
1.401 -2.024 5.306
1.401 2.024 -5.306
Si Ni As
2 1 1
direct
0.196 0.196 0.000
0.804 0.804 0.000
0.000 0.500 0.500
0.500 0.000 0.500
```

=====

# 18
Density functional theory data (GGA-PBE) for a relaxed SiNi8As2 crystal.

Calculated values
E above lowest polymorph (eV per formula unit): 0.16
Magnetic moment (μB/cell): 0.0
SG: Immm (71)
Crystal system: orthorhombic
Formation energy without anion corrections (kJ per mole of atoms): -26.7
DFT total energy (eV/atom): -5.8197

Structure (POSCAR):
```
SiNi8As2
1.0
-1.828 3.283 5.409
1.828 -3.283 5.409
1.828 3.283 -5.409
Si Ni As
1 8 2
direct
0.000 0.000 0.000
0.102 0.837 0.266
0.138 0.638 0.500
0.298 0.500 0.798
0.429 0.163 0.266
0.571 0.837 0.734
0.702 0.500 0.202
0.862 0.362 0.500
0.898 0.163 0.734
0.320 0.320 0.000
0.680 0.680 0.000
```

=====

# 19
Density functional theory data (GGA-PBE) for a relaxed SiNi5As2 crystal.

Calculated values
Magnetic moment (μB/cell): 0.0
SG: Immm (71)
Crystal system: orthorhombic
Formation energy without anion corrections (kJ per mole of atoms): -28.5
DFT total energy (eV/atom): -5.7491

Structure (POSCAR):
```
SiNi5As2
1.0
-1.779 2.492 5.712
1.779 -2.492 5.712
1.779 2.492 -5.712
Si Ni As
1 5 2
direct
0.000 0.000 0.000
0.134 0.388 0.746
0.358 0.612 0.746
0.500 0.000 0.500
0.642 0.388 0.254
0.866 0.612 0.254
0.289 0.789 0.500
0.711 0.211 0.500
```

=====

# 20
Density functional theory data (GGA-PBE) for a relaxed Si2NiAs crystal.

Calculated values
Magnetic moment (μB/cell): 0.0
SG: R-3m (166)
Crystal system: trigonal
Formation energy without anion corrections (kJ per mole of atoms): 14.3
DFT total energy (eV/atom): -5.1709

Structure (POSCAR):
```
Si2NiAs
1.0
1.416 0.818 8.390
-1.416 0.818 8.390
0.000 -1.635 8.390
Si Ni As
2 1 1
direct
0.237 0.237 0.237
0.763 0.763 0.763
0.500 0.500 0.500
0.000 0.000 0.000
```

=====

# 21
Density functional theory data (GGA-PBE) for a relaxed SiNiAs2 crystal.

Calculated values
Magnetic moment (μB/cell): 0.0
SG: P4/mmm (123)
Crystal system: tetragonal
Formation energy without anion corrections (kJ per mole of atoms): 33.3
DFT total energy (eV/atom): -4.7810

Structure (POSCAR):
```
SiNiAs2
1.0
4.699 0.000 0.000
0.000 4.699 0.000
0.000 0.000 2.808
Si Ni As
1 1 2
direct
0.000 0.000 0.000
0.500 0.500 0.000
0.000 0.500 0.500
0.500 0.000 0.500
```

=====

# 22
Density functional theory data (GGA-PBE) for a relaxed SiNiAs2 crystal.

Calculated values
Magnetic moment (μB/cell): 0.0
SG: Cmmm (65)
Crystal system: orthorhombic
Formation energy without anion corrections (kJ per mole of atoms): 23.5
DFT total energy (eV/atom): -4.8827

Structure (POSCAR):
```
SiNiAs2
1.0
1.974 -1.981 0.000
1.974 1.981 0.000
0.000 0.000 8.392
Si Ni As
1 1 2
direct
0.000 0.000 0.000
0.000 0.000 0.500
0.500 0.500 0.301
0.500 0.500 0.699
```

=====

# 23
Density functional theory data (GGA-PBE) for a relaxed SiNiAs2 crystal.

Calculated values
Magnetic moment (μB/cell): 0.0
SG: F-43m (216)
Crystal system: cubic
Formation energy without anion corrections (kJ per mole of atoms): 42.7
DFT total energy (eV/atom): -4.6831

Structure (POSCAR):
```
SiNiAs2
1.0
0.000 3.148 3.148
3.148 0.000 3.148
3.148 3.148 0.000
Si Ni As
1 1 2
direct
0.000 0.000 0.000
0.250 0.250 0.250
0.500 0.500 0.500
0.750 0.750 0.750
```

=====

# 24
Density functional theory data (GGA-PBE) for a relaxed SiNiAs2 crystal.

Calculated values
Magnetic moment (μB/cell): 0.0
SG: R-3m (166)
Crystal system: trigonal
Formation energy without anion corrections (kJ per mole of atoms): 23.5
DFT total energy (eV/atom): -4.8825

Structure (POSCAR):
```
SiNiAs2
1.0
1.499 0.865 8.400
-1.499 0.865 8.400
0.000 -1.731 8.400
Si Ni As
1 1 2
direct
0.000 0.000 0.000
0.500 0.500 0.500
0.236 0.236 0.236
0.764 0.764 0.764
```

=====

# 25
Density functional theory data (GGA-PBE) for a relaxed Si2NiAs crystal.

Calculated values
Magnetic moment (μB/cell): 0.0
SG: Cmmm (65)
Crystal system: orthorhombic
Formation energy without anion corrections (kJ per mole of atoms): 29.4
DFT total energy (eV/atom): -5.0143

Structure (POSCAR):
```
Si2NiAs
1.0
2.644 -3.530 0.000
2.644 3.530 0.000
0.000 0.000 3.088
Si Ni As
2 1 1
direct
0.000 0.500 0.000
0.500 0.000 0.000
0.000 0.000 0.500
0.500 0.500 0.500
```

=====

# 26
Density functional theory data (GGA-PBE) for a relaxed SmNi3As2 crystal.

Calculated values
DFT formation energy (meV/atom): -657
Magnetic moment (μB/cell): 0.0
SG: C2/m (12)
Crystal system: monoclinic
DFT total energy (eV/atom): -5.8843

Structure (POSCAR):
```
SmNi3As2
1.0
7.462 -1.960 0.000
7.462 1.960 0.000
-3.040 0.000 6.448
Sm Ni As
2 6 4
direct
0.150 0.150 0.069
0.850 0.850 0.931
0.043 0.043 0.383
0.313 0.313 0.554
0.404 0.404 0.330
0.596 0.596 0.670
0.687 0.687 0.446
0.957 0.957 0.617
0.192 0.192 0.686
0.478 0.478 0.803
0.522 0.522 0.197
0.808 0.808 0.314
```

=====

# 27
Density functional theory data (GGA-PBE) for a relaxed SmNi5As3 crystal.

Calculated values
DFT formation energy (meV/atom): -555
Magnetic moment (μB/cell): 0.0
SG: Cmcm (63)
Crystal system: orthorhombic
DFT total energy (eV/atom): -5.8414

Structure (POSCAR):
```
SmNi5As3
1.0
1.865 -6.090 0.000
1.865 6.090 0.000
0.000 0.000 11.783
Sm Ni As
2 10 6
direct
0.160 0.840 0.750
0.840 0.160 0.250
0.000 0.000 0.000
0.000 0.000 0.500
0.195 0.805 0.068
0.195 0.805 0.432
0.450 0.550 0.645
0.450 0.550 0.855
0.550 0.450 0.145
0.550 0.450 0.355
0.805 0.195 0.568
0.805 0.195 0.932
0.116 0.884 0.250
0.380 0.620 0.045
0.380 0.620 0.455
0.620 0.380 0.545
0.620 0.380 0.955
0.884 0.116 0.750
```